Entry 1:
DFT (PBE-GGA) results for crystalline TmHfTeC at its relaxed geometry.

Values from the calculation:
crystal system: hexagonal
total magnetic moment: 0.0013 μB per atom

Unit cell a=3.602 b=3.602 c=13.651 alpha=90.00 beta=90.00 gamma=120.00
Element x y z (fractional)
Hf: 0.333 0.667 0.844
Hf: 0.333 0.667 0.156
Te: 0.333 0.667 0.500
Te: 0.667 0.333 0.000
Tm: 0.667 0.333 0.336
Tm: 0.667 0.333 0.664
C: 0.000 0.000 0.234
C: 0.000 0.000 0.766



Entry 2:
DFT (PBE-GGA) results for crystalline Cs2CdPdCl6 at its relaxed geometry.

Values from the calculation:
crystal system: triclinic

Unit cell a=7.311 b=7.311 c=10.351 alpha=90.00 beta=89.99 gamma=89.99
Element x y z (fractional)
Cs: 0.950 0.450 0.250
Cs: 0.450 0.950 0.250
Cs: 0.950 0.450 0.750
Cs: 0.450 0.950 0.750
Pd: 0.950 0.950 0.000
Pd: 0.450 0.450 0.500
Cl: 0.699 0.687 0.500
Cl: 0.213 0.698 0.501
Cl: 0.195 0.190 0.000
Cl: 0.950 0.949 0.243
Cl: 0.710 0.196 0.001
Cl: 0.704 0.710 0.000
Cl: 0.687 0.202 0.499
Cl: 0.451 0.449 0.743
Cl: 0.950 0.951 0.757
Cl: 0.190 0.704 0.999
Cl: 0.450 0.451 0.257
Cl: 0.202 0.212 0.500
Cd: 0.450 0.450 0.000
Cd: 0.950 0.950 0.500



Entry 3:
DFT (PBE-GGA) results for crystalline NdTlInSe3 at its relaxed geometry.

Values from the calculation:
crystal system: orthorhombic
total magnetic moment: 0.0010 μB per atom

Unit cell a=7.653 b=7.653 c=11.726 alpha=90.00 beta=90.00 gamma=147.30
Element x y z (fractional)
Se: 0.980 0.020 0.250
Se: 0.639 0.361 0.481
Se: 0.639 0.361 0.019
Se: 0.361 0.639 0.981
Se: 0.361 0.639 0.519
Se: 0.020 0.980 0.750
Nd: 0.000 0.000 0.500
Nd: 0.000 0.000 0.000
Tl: 0.695 0.305 0.750
Tl: 0.305 0.695 0.250
In: 0.390 0.610 0.750
In: 0.610 0.390 0.250



Electronic total energy for the records above, in order: -7.5379 -3.1208 -4.3213 eV/atom
Calculated volume for the records above, in order: 19.17 27.66 30.92 A^3/atom